# LaCuBr2

LaCuBr2 after structural relaxation (PBE, the Alexandria database).

```
data_LaCuBr2
_cell_length_a 6.647
_cell_length_b 6.647
_cell_length_c 7.389
_cell_angle_alpha 63.27
_cell_angle_beta 63.27
_cell_angle_gamma 90.00
_space_group_name_H-M_alt 'P 1'
_space_group_IT_number 1
loop_
_space_group_symop_operation_xyz
'x,y,z'
loop_
_atom_site_label
_atom_site_type_symbol
_atom_site_fract_x
_atom_site_fract_y
_atom_site_fract_z
Br1 Br 0.375 0.453 0.750
Br2 Br 0.547 0.125 0.250
La1 La 0.750 0.250 0.500
Cu1 Cu 0.250 0.750 0.500
La2 La 0.000 0.000 0.000
Br3 Br 0.203 0.625 0.250
Cu2 Cu 0.500 0.500 0.000
Br4 Br 0.875 0.797 0.750
```

Summary:
total magnetization	0.4688	μB per atom
calculated density	4.78	g/cm³
E_form (uncorrected)	-0.478	eV/atom
distance to the lowest polymorph of the same formula	499	meV/atom

# V6GaH8

V6GaH8 after structural relaxation (PBE, the Alexandria database).

```
data_V6GaH8
_cell_length_a 4.977
_cell_length_b 4.977
_cell_length_c 4.977
_cell_angle_alpha 99.21
_cell_angle_beta 99.21
_cell_angle_gamma 99.21
_space_group_name_H-M_alt 'P 1'
_space_group_IT_number 1
loop_
_space_group_symop_operation_xyz
'x,y,z'
loop_
_atom_site_label
_atom_site_type_symbol
_atom_site_fract_x
_atom_site_fract_y
_atom_site_fract_z
H1 H 0.391 0.527 0.824
H2 H 0.527 0.824 0.391
V1 V 0.264 0.578 0.136
V2 V 0.864 0.736 0.422
V3 V 0.422 0.864 0.736
H3 H 0.609 0.473 0.176
V4 V 0.136 0.264 0.578
H4 H 0.473 0.176 0.609
H5 H 0.278 0.278 0.278
H6 H 0.722 0.722 0.722
H7 H 0.176 0.609 0.473
V5 V 0.578 0.136 0.264
Ga1 Ga 0.000 0.000 0.000
V6 V 0.736 0.422 0.864
H8 H 0.824 0.391 0.527
```

Summary:
total magnetization	0.0001	μB per atom
calculated density	5.40	g/cm³
total DFT energy (no corrections)	-86.5	eV/cell

# La2Tb6Nd3Er

La2Tb6Nd3Er after structural relaxation (PBE, the Alexandria database).

```
data_La2Tb6Nd3Er
_cell_length_a 6.277
_cell_length_b 6.277
_cell_length_c 11.943
_cell_angle_alpha 95.02
_cell_angle_beta 95.02
_cell_angle_gamma 119.99
_space_group_name_H-M_alt 'P 1'
_space_group_IT_number 1
loop_
_space_group_symop_operation_xyz
'x,y,z'
loop_
_atom_site_label
_atom_site_type_symbol
_atom_site_fract_x
_atom_site_fract_y
_atom_site_fract_z
Tb1 Tb 0.584 0.916 0.750
Tb2 Tb 0.416 0.084 0.250
Nd1 Nd 0.500 0.500 0.500
Tb3 Tb 0.752 0.752 0.251
Er1 Er 0.000 0.000 0.000
Tb4 Tb 0.248 0.248 0.749
Nd2 Nd 0.833 0.167 0.500
La1 La 0.334 0.666 0.000
La2 La 0.666 0.334 0.000
Tb5 Tb 0.084 0.416 0.250
Nd3 Nd 0.167 0.833 0.500
Tb6 Tb 0.916 0.584 0.750
```

Summary:
total magnetization	0.0000	μB per atom
formation energy from the elements	0.18	eV per formula unit
calculated density	7.58	g/cm³

# NaCd3Ag4

NaCd3Ag4 after structural relaxation (PBE, the Alexandria database).

```
data_NaCd3Ag4
_cell_length_a 6.466
_cell_length_b 6.466
_cell_length_c 6.466
_cell_angle_alpha 77.57
_cell_angle_beta 128.17
_cell_angle_gamma 126.66
_space_group_name_H-M_alt 'P 1'
_space_group_IT_number 1
loop_
_space_group_symop_operation_xyz
'x,y,z'
loop_
_atom_site_label
_atom_site_type_symbol
_atom_site_fract_x
_atom_site_fract_y
_atom_site_fract_z
Cd1 Cd 0.821 0.000 0.821
Ag1 Ag 0.098 0.232 0.330
Cd2 Cd 0.600 0.743 0.342
Cd3 Cd 0.600 0.257 0.857
Na1 Na 0.296 0.500 0.796
Ag2 Ag 0.570 0.250 0.320
Ag3 Ag 0.069 0.750 0.320
Ag4 Ag 0.098 0.768 0.865
```

Summary:
total magnetization	0.0000	μB per atom
formation energy from the elements	0.45	eV per formula unit
calculated density	7.95	g/cm³
distance to the lowest polymorph of the same formula	94	meV/atom

# PtRhN

PtRhN after structural relaxation (PBE, the Alexandria database).

```
data_PtRhN
_cell_length_a 16.767
_cell_length_b 3.854
_cell_length_c 2.777
_cell_angle_alpha 90.00
_cell_angle_beta 90.00
_cell_angle_gamma 90.00
_space_group_name_H-M_alt 'P 1'
_space_group_IT_number 1
loop_
_space_group_symop_operation_xyz
'x,y,z'
loop_
_atom_site_label
_atom_site_type_symbol
_atom_site_fract_x
_atom_site_fract_y
_atom_site_fract_z
Rh1 Rh 0.621 0.000 0.000
N1 N 0.536 0.000 0.500
Rh2 Rh 0.879 0.500 0.500
N2 N 0.964 0.500 0.000
Pt1 Pt 0.708 0.500 0.500
N3 N 0.036 0.500 0.000
Pt2 Pt 0.292 0.500 0.500
Pt3 Pt 0.792 0.000 0.000
Rh3 Rh 0.379 0.000 0.000
Rh4 Rh 0.121 0.500 0.500
Pt4 Pt 0.208 0.000 0.000
N4 N 0.464 0.000 0.500
```

Summary:
total magnetization	0.0007	μB per atom
calculated density	11.55	g/cm³
E_form (uncorrected)	0.266	eV/atom
distance to the lowest polymorph of the same formula	94	meV/atom

# NdDyHoTl

NdDyHoTl after structural relaxation (PBE, the Alexandria database).

```
data_NdDyHoTl
_cell_length_a 4.928
_cell_length_b 4.845
_cell_length_c 4.912
_cell_angle_alpha 90.00
_cell_angle_beta 90.00
_cell_angle_gamma 90.00
_space_group_name_H-M_alt 'P 1'
_space_group_IT_number 1
loop_
_space_group_symop_operation_xyz
'x,y,z'
loop_
_atom_site_label
_atom_site_type_symbol
_atom_site_fract_x
_atom_site_fract_y
_atom_site_fract_z
Nd1 Nd 0.000 0.000 0.000
Ho1 Ho 0.500 0.500 0.000
Dy1 Dy 0.000 0.500 0.500
Tl1 Tl 0.500 0.000 0.500
```

Summary:
total magnetization	0.1290	μB per atom
formation energy from the elements	-0.73	eV per formula unit
calculated density	9.57	g/cm³
distance to the lowest polymorph of the same formula	0	meV/atom